Entry 1:
This record from Alexandria describes a relaxed structure of AcCd2Hg2. The functional is GGA-PBE.

a = 4.5748 Å, b = 4.5748 Å, c = 13.0956 Å
α = 90.00°, β = 90.00°, γ = 90.00°
With the nearest neighbours (Å) after each atom.
Space group I4/mmm (No. 139)
One atom of each set of equivalent atoms:
Ac 0.0000 0.0000 0.0000 x2  8 Hg 3.54
Cd 0.0000 0.5000 0.2500 x4  4 Hg 2.93, 4 Cd 3.23
Hg 0.0000 0.0000 0.3900 x4  1 Hg 2.88, 4 Cd 2.93

Computed properties:
Formation enthalpy at 0 K = -0.312 eV per atom
Energy above the most stable polymorph in this dataset = 0.0177 eV/atom

Entry 2:
This record from Alexandria describes a relaxed structure of Ac4CdHg7. The functional is GGA-PBE.

a = 16.1744 Å, b = 5.4820 Å, c = 10.0733 Å
α = 90.00°, β = 121.83°, γ = 90.00°
With the nearest neighbours (Å) after each atom.
Space group C2/m (No. 12)
One atom of each set of equivalent atoms:
Ac 0.0628 0.0000 0.2450 x4  6 Hg 3.22-3.43
Ac 0.2327 0.0000 0.7572 x4  8 Hg 3.26-3.54
Cd 0.0000 0.5000 0.5000 x2  4 Hg 2.74-3.07
Hg 0.0000 0.0000 0.5000 x2  2 Cd 2.74
Hg 0.0866 0.5000 0.8570 x4  1 Cd 3.10, 3 Hg 3.19-3.40, 3 Ac 3.42-3.43
Hg 0.1763 0.0000 0.0391 x4  3 Hg 3.19-3.40, 5 Ac 3.27-3.42
Hg 0.1921 0.5000 0.5081 x4  1 Cd 3.07, 2 Hg 3.37, 1 Ac 3.39

Computed properties:
Formation enthalpy at 0 K = -0.341 eV per atom

Entry 3:
This record from Alexandria describes a relaxed structure of Ac2CdHg3. The functional is GGA-PBE.

a = 4.1703 Å, b = 4.9313 Å, c = 18.2152 Å
α = 90.00°, β = 90.00°, γ = 90.00°
With the nearest neighbours (Å) after each atom.
Space group Imm2 (No. 44)
One atom of each set of equivalent atoms:
Ac 0.0000 0.0000 0.0000 x2  6 Hg 3.49-3.58, 4 Cd 3.58
Ac 0.0000 0.5000 0.2465 x2  8 Hg 3.50-3.60, 2 Cd 3.60
Cd 0.0000 0.0000 0.5853 x2  3 Hg 2.81-2.88
Hg 0.0000 0.0000 0.4275 x2  2 Hg 2.85, 1 Cd 2.88
Hg 0.0000 0.5000 0.6598 x2  2 Cd 2.81, 1 Hg 2.93
Hg 0.0000 0.5000 0.8207 x2  3 Hg 2.85-2.93

Computed properties:
Formation enthalpy at 0 K = -0.353 eV per atom
Energy above the most stable polymorph in this dataset = 0.0883 eV/atom

Entry 4:
This record from Alexandria describes a relaxed structure of Ac2Cd3Hg6. The functional is GGA-PBE.

a = 9.9972 Å, b = 14.9051 Å, c = 4.2745 Å
α = 90.00°, β = 90.00°, γ = 90.00°
With the nearest neighbours (Å) after each atom.
Space group Cmmm (No. 65)
One atom of each set of equivalent atoms:
Ac 0.2106 0.0000 0.0000 x4  8 Hg 3.41-3.45, 2 Cd 3.60
Cd 0.0000 0.2531 0.0000 x4  6 Hg 2.97-3.06
Cd 0.0000 0.5000 0.5000 x2  4 Hg 3.01
Hg 0.0000 0.1149 0.5000 x4  2 Cd 2.97, 2 Hg 3.28
Hg 0.1798 0.3376 0.5000 x8  2 Hg 2.96-3.28, 3 Cd 3.01-3.06

Computed properties:
Formation enthalpy at 0 K = -0.203 eV per atom

Entry 5:
This record from Alexandria describes a relaxed structure of AcCd12Hg7. The functional is GGA-PBE.

a = 14.8855 Å, b = 14.8855 Å, c = 7.9254 Å
α = 90.00°, β = 90.00°, γ = 120.00°
With the nearest neighbours (Å) after each atom.
Space group R-3 (No. 148, hexagonal axes)
One atom of each set of equivalent atoms:
Ac 0.0000 0.0000 0.0000 x3  6 Hg 3.36
Cd 0.0318 0.2922 0.0756 x18  4 Hg 2.93-3.26, 5 Cd 2.97-3.21
Cd 0.0930 0.2254 0.3868 x18  4 Cd 2.97-3.21, 4 Hg 3.01-3.23
Hg 0.0000 0.0000 0.5000 x3  6 Cd 3.06
Hg 0.0800 0.2159 0.7673 x18  7 Cd 2.93-3.26

Computed properties:
Formation enthalpy at 0 K = -0.031 eV per atom

Entry 6:
This record from Alexandria describes a relaxed structure of Ac8Cd2Hg. The functional is GGA-PBE.

a = 20.1516 Å, b = 5.7158 Å, c = 7.7521 Å
α = 90.00°, β = 104.92°, γ = 90.00°
With the nearest neighbours (Å) after each atom.
Space group C2/m (No. 12)
One atom of each set of equivalent atoms:
Ac 0.0227 0.0000 0.2683 x4  1 Cd 3.38, 2 Hg 3.47
Ac 0.0915 0.5000 0.9568 x4  1 Hg 3.55, 2 Cd 3.75, 6 Ac 3.80-3.95
Ac 0.1634 0.5000 0.4664 x4  3 Cd 3.36-3.51, 1 Hg 3.37
Ac 0.2007 0.0000 0.8106 x4  1 Cd 3.30
Cd 0.1854 0.0000 0.2245 x4  5 Ac 3.30-3.51
Hg 0.0000 0.5000 0.5000 x2  8 Ac 3.37-3.55

Computed properties:
Formation enthalpy at 0 K = -0.140 eV per atom

Entry 7:
This record from Alexandria describes a relaxed structure of Ac2CdHg2. The functional is GGA-PBE.

a = 12.0302 Å, b = 4.9825 Å, c = 11.8644 Å
α = 90.00°, β = 117.18°, γ = 90.00°
With the nearest neighbours (Å) after each atom.
Space group C2/m (No. 12)
One atom of each set of equivalent atoms:
Ac 0.0176 0.0000 0.3399 x4  4 Cd 3.48-3.62, 7 Hg 3.48-3.73
Ac 0.1869 0.0000 0.1064 x4  6 Hg 3.35-3.65, 2 Cd 3.65
Cd 0.2215 0.5000 0.3452 x4  4 Hg 2.90-3.21
Hg 0.0309 0.5000 0.8854 x4  1 Cd 3.02, 1 Hg 3.13, 1 Ac 3.35
Hg 0.1416 0.5000 0.5690 x4  3 Cd 2.90-3.21, 1 Hg 3.03

Computed properties:
Formation enthalpy at 0 K = -0.401 eV per atom
Energy above the most stable polymorph in this dataset = 0.0000 eV/atom

Entry 8:
This record from Alexandria describes a relaxed structure of Ac3Cd4Hg4. The functional is GGA-PBE.

a = 4.0238 Å, b = 5.0513 Å, c = 15.8492 Å
α = 80.90°, β = 82.73°, γ = 89.91°
With the nearest neighbours (Å) after each atom.
Space group P-1 (No. 2)
One atom of each set of equivalent atoms:
Ac 0.0000 0.0000 0.0000 x1  4 Cd 3.53-3.54, 8 Hg 3.56-3.57
Ac 0.1443 0.6438 0.7117 x2  6 Hg 3.49-3.58, 6 Cd 3.59-3.63
Cd 0.2589 0.2595 0.4830 x2  4 Hg 2.99-3.04, 4 Cd 3.26-3.29
Cd 0.4059 0.9061 0.1874 x2  3 Hg 2.89-2.91
Hg 0.3116 0.8140 0.3745 x2  5 Cd 2.91-3.04
Hg 0.4514 0.4509 0.0974 x2  2 Cd 2.89, 1 Hg 3.02

Computed properties:
Formation enthalpy at 0 K = -0.365 eV per atom

Entry 9:
This record from Alexandria describes a relaxed structure of AcCd8Hg6. The functional is GGA-PBE.

a = 7.2592 Å, b = 7.2592 Å, c = 25.1993 Å
α = 90.00°, β = 90.00°, γ = 120.00°
With the nearest neighbours (Å) after each atom.
Space group R-3 (No. 148, hexagonal axes)
One atom of each set of equivalent atoms:
Ac 0.0000 0.0000 0.0000 x3  6 Hg 3.49, 6 Cd 3.84
Cd 0.0000 0.0000 0.3567 x6  6 Hg 2.89-3.03
Cd 0.0516 0.2750 0.1340 x18  4 Hg 2.96-3.19, 5 Cd 3.03-3.20
Hg 0.0386 0.2676 0.2605 x18  6 Cd 2.89-3.19, 2 Hg 3.15

Computed properties:
Formation enthalpy at 0 K = -0.079 eV per atom

Entry 10:
This record from Alexandria describes a relaxed structure of Ac3Cd7Hg4. The functional is GGA-PBE.

a = 17.7898 Å, b = 5.1115 Å, c = 9.9369 Å
α = 90.00°, β = 123.44°, γ = 90.00°
With the nearest neighbours (Å) after each atom.
Space group C2/m (No. 12)
One atom of each set of equivalent atoms:
Ac 0.0000 0.0000 0.0000 x2  6 Hg 3.52-3.73, 6 Cd 3.55-3.68
Ac 0.2086 0.5000 0.7113 x4  6 Hg 3.45-3.69, 8 Cd 3.49-3.61
Cd 0.0000 0.0000 0.5000 x2  6 Cd 2.98-3.07, 2 Hg 3.03
Cd 0.0024 0.5000 0.3317 x4  1 Hg 2.95, 3 Cd 2.95-3.07
Cd 0.1416 0.0000 0.4273 x4  3 Hg 2.94-3.09, 1 Cd 2.98
Cd 0.1513 0.5000 0.0077 x4  4 Hg 2.82-3.13, 1 Cd 2.95
Hg 0.1432 0.0000 0.8589 x4  4 Cd 2.92-3.13
Hg 0.1565 0.5000 0.2969 x4  5 Cd 2.82-3.09

Computed properties:
Formation enthalpy at 0 K = -0.329 eV per atom

Entry 11:
This record from Alexandria describes a relaxed structure of AcCd2InHg5. The functional is GGA-PBE.

a = 5.2342 Å, b = 5.2342 Å, c = 9.4440 Å
α = 90.00°, β = 90.00°, γ = 90.00°
With the nearest neighbours (Å) after each atom.
Space group P4/mmm (No. 123)
One atom of each set of equivalent atoms:
Ac 0.0000 0.0000 0.0000 x1  12 Hg 3.40-3.70
Cd 0.5000 0.5000 0.3560 x2  1 Cd 2.72, 4 Hg 2.87
In 0.0000 0.0000 0.5000 x1  8 Hg 3.65, 8 Cd 3.94
Hg 0.0000 0.5000 0.2304 x4  2 Cd 2.87
Hg 0.5000 0.5000 0.0000 x1  2 Cd 3.36, 8 Hg 3.40, 4 Ac 3.70

Computed properties:
Formation enthalpy at 0 K = -0.074 eV per atom

Entry 12:
This record from Alexandria describes a relaxed structure of Ac2CdInHg6. The functional is GGA-PBE.

a = 10.8625 Å, b = 10.8625 Å, c = 10.8625 Å
α = 90.00°, β = 90.00°, γ = 90.00°
With the nearest neighbours (Å) after each atom.
Space group Fm-3m (No. 225)
One atom of each set of equivalent atoms:
Ac 0.2500 0.2500 0.2500 x8  12 Hg 3.84
Cd 0.0000 0.0000 0.0000 x4  6 Hg 2.70
In 0.0000 0.0000 0.5000 x4  6 Hg 2.73
Hg 0.0000 0.0000 0.2487 x24  1 Cd 2.70, 1 In 2.73

Computed properties:
Formation enthalpy at 0 K = 0.012 eV per atom

Values for DOS at the Fermi energy, states/eV per cell, ordered as above
4.4; 16.3; 10.7; 14.7; 24.3; 24.9; 21.4; 7.7; 17.0; 18.9; 4.5; 33.0